# 1
VASP calculation (PBE) on a relaxed Na2TiZnS4 crystal.

Unit cell a=6.2192 b=6.2199 c=6.7233 alpha=117.56 beta=117.56 gamma=89.98
Fractional positions:
Na1 0.4860 0.9860 0.9720
Na2 0.2360 0.2360 0.4720
Ti1 0.7359 0.7359 0.4717
Zn1 0.9858 0.4858 0.9716
S1 0.6724 0.6144 0.7167
S2 0.8573 0.4274 0.2267
S3 0.3693 0.7993 0.2266
S4 0.0443 0.1023 0.7167

SG: I-4, No. 82
Energy in eV per atom: -4.65
Formation energy (no corrections) in eV per atom: -1.1124

=====

# 2
VASP calculation (PBE) on a relaxed Cu2TeAs crystal.

Unit cell a=3.7487 b=3.7487 c=6.4116 alpha=73.02 beta=73.02 gamma=59.76
Fractional positions:
As1 0.2500 0.2500 0.2500
Cu1 0.9906 0.9906 0.0298
Cu2 0.5094 0.5094 0.4702
Te1 0.7500 0.7500 0.7500

SG: C2/m, No. 12
Energy in eV per atom: -3.88
Formation energy (no corrections) in eV per atom: 0.1132

=====

# 3
VASP calculation (PBE) on a relaxed Tb2CeSiN4 crystal.

Unit cell a=3.4014 b=6.0108 c=11.6377 alpha=90.00 beta=90.00 gamma=106.44
Site moments in Bohr magnetons follow the coordinates.
Fractional positions:
Tb1 0.3684 0.7368 0.5427  0.03
Tb2 0.6316 0.2632 0.0427  0.03
Tb3 0.6316 0.2632 0.4573  0.03
Tb4 0.3684 0.7368 0.9573  0.03
Ce1 0.0890 0.1780 0.7500  0.85
Ce2 0.9110 0.8220 0.2500  0.85
Si1 0.8232 0.6464 0.7500  0.00
Si2 0.1768 0.3536 0.2500  0.00
N1 0.2683 0.5366 0.1315  -0.01
N2 0.7317 0.4634 0.6315  -0.01
N3 0.7317 0.4634 0.8685  -0.01
N4 0.2683 0.5366 0.3685  -0.01
N5 0.0000 0.0000 0.5000  -0.01
N6 0.0000 0.0000 0.0000  -0.01
N7 0.4053 0.8106 0.7500  -0.01
N8 0.5947 0.1894 0.2500  -0.01

SG: Cmcm, No. 63
Energy in eV per atom: -8.05
Formation energy (no corrections) in eV per atom: -1.3080

=====

# 4
VASP calculation (PBE) on a relaxed Si2AgTe crystal.

Unit cell a=3.4484 b=3.4484 c=7.5207 alpha=90.00 beta=90.00 gamma=90.00
Fractional positions:
Ag1 0.5000 0.5000 0.7530
Si1 0.0000 0.0000 0.1604
Si2 0.5000 0.5000 0.0794
Te1 0.0000 0.0000 0.5072

SG: P4mm, No. 99
Energy in eV per atom: -3.90
Formation energy (no corrections) in eV per atom: 0.3132

=====

# 5
VASP calculation (PBE) on a relaxed La2TaMnTl crystal.

Unit cell a=5.5528 b=5.4080 c=5.5528 alpha=90.00 beta=90.00 gamma=90.00
Site moments in Bohr magnetons follow the coordinates.
Fractional positions:
Tl1 0.0000 0.5000 0.0000  0.00
La1 0.0000 0.0000 0.5000  -0.01
La2 0.5000 0.0000 0.0000  -0.03
Mn1 0.5000 0.5000 0.5000  -0.36
Ta1 0.0000 0.0000 0.0000  -0.14

SG: P4/mmm, No. 123
Energy in eV per atom: -5.32
Formation energy in kcal/mol of atoms: 30.8

=====

# 6
VASP calculation (PBE) on a relaxed KAcRuO6 crystal.

Unit cell a=5.9014 b=5.9014 c=5.6286 alpha=90.00 beta=90.00 gamma=60.00
Fractional positions:
K1 0.0000 0.0000 0.0003
Ac1 0.6666 0.6667 0.5006
Ru1 0.3333 0.3333 0.4998
O1 0.0662 0.3404 0.3087
O2 0.3395 0.0666 0.6910
O3 0.5938 0.3396 0.6910
O4 0.0666 0.5938 0.6910
O5 0.3404 0.5934 0.3087
O6 0.5934 0.0662 0.3087

SG: P312, No. 149
Energy in eV per atom: -6.41
Formation energy (no corrections) in eV per atom: -1.4957

=====

# 7
VASP calculation (PBE) on a relaxed CeSm5Ho crystal.

Unit cell a=7.8846 b=10.5403 c=9.5090 alpha=44.97 beta=34.23 gamma=31.52
Site moments in Bohr magnetons follow the coordinates.
Fractional positions:
Ce1 0.0000 0.0000 0.0000  -0.21
Sm1 0.6805 0.5359 0.9964  -0.02
Sm2 0.5335 0.1466 0.4990  -0.02
Sm3 0.5000 0.0000 0.0000  0.00
Sm4 0.4665 0.8534 0.5010  -0.02
Sm5 0.3195 0.4641 0.0036  -0.02
Ho1 0.5000 0.5000 0.5000  0.01

SG: P-1, No. 2
Energy in eV per atom: -4.59
Formation energy in kcal/mol of atoms: 6.5

=====

# 8
VASP calculation (PBE) on a relaxed Ho8Tm6Mg crystal.

Unit cell a=8.8982 b=8.8982 c=8.4521 alpha=58.24 beta=58.24 gamma=60.00
Fractional positions:
Ho1 0.7167 0.1080 0.4307
Ho2 0.8920 0.2553 0.5693
Ho3 0.2553 0.2833 0.5693
Ho4 0.5759 0.5759 0.2722
Ho5 0.4241 0.4241 0.7278
Ho6 0.7447 0.7167 0.4307
Ho7 0.1080 0.7447 0.4307
Ho8 0.2833 0.8920 0.5693
Tm1 0.4528 0.8899 0.8850
Tm2 0.1101 0.2277 0.1150
Tm3 0.2277 0.5472 0.1150
Tm4 0.7723 0.4528 0.8850
Tm5 0.8899 0.7723 0.8850
Tm6 0.5472 0.1101 0.1150
Mg1 0.0000 0.0000 0.0000

SG: R-3, No. 148
Energy in eV per atom: -4.23
Formation energy in kcal/mol of atoms: 2.4

=====

# 9
VASP calculation (PBE) on a relaxed Tl3Bi crystal.

Unit cell a=5.0145 b=5.0147 c=5.0154 alpha=90.00 beta=90.00 gamma=90.00
Fractional positions:
Tl1 0.0000 0.0000 0.0833
Tl2 0.0000 0.5000 0.5837
Tl3 0.5000 0.5000 0.0836
Bi1 0.5000 0.0000 0.5827

SG: Pm-3m, No. 221
Energy in eV per atom: -2.77
Formation energy in kcal/mol of atoms: -0.6

=====

# 10
VASP calculation (PBE) on a relaxed Er8Zn2Os crystal.

Unit cell a=6.0853 b=8.5713 c=8.5713 alpha=127.43 beta=104.09 gamma=104.09
Fractional positions:
Er1 0.6520 0.3934 0.1572
Er2 0.6520 0.1572 0.3934
Er3 0.1330 0.2812 0.2812
Er4 0.9952 0.1898 0.8093
Er5 0.9952 0.8093 0.1898
Er6 0.7594 0.7139 0.7139
Er7 0.2936 0.8496 0.6199
Er8 0.2936 0.6199 0.8496
Zn1 0.4764 0.7215 0.2905
Zn2 0.4764 0.2905 0.7215
Os1 0.2728 0.0077 0.0077

SG: Cm, No. 8
Energy in eV per atom: -4.68
Formation energy in kcal/mol of atoms: -2.6

=====

# 11
VASP calculation (PBE) on a relaxed AgTeSeBr2 crystal.

Unit cell a=5.5258 b=5.5258 c=5.5372 alpha=90.00 beta=90.00 gamma=90.00
Fractional positions:
Te1 0.0000 0.0000 0.0000
Se1 0.0000 0.0000 0.5000
Br1 0.0000 0.5000 0.0000
Br2 0.5000 0.0000 0.0000
Ag1 0.5000 0.5000 0.5000

SG: P4/mmm, No. 123
Energy in eV per atom: -2.34
Formation energy (no corrections) in eV per atom: 0.2286

=====

# 12
VASP calculation (PBE) on a relaxed CoIr2W crystal.

Unit cell a=2.7723 b=2.7723 c=7.3754 alpha=90.00 beta=90.00 gamma=90.00
Site moments in Bohr magnetons follow the coordinates.
Fractional positions:
Co1 0.5000 0.5000 0.7500  1.85
Ir1 0.0000 0.0000 0.9903  0.23
Ir2 0.0000 0.0000 0.5097  0.23
W1 0.5000 0.5000 0.2500  0.02

SG: P4/mmm, No. 123
Energy in eV per atom: -9.55
Formation energy in kcal/mol of atoms: -2.4

=====

What did the sixth record say?
VASP calculation (PBE) on a relaxed KAcRuO6 crystal.

Unit cell a=5.9014 b=5.9014 c=5.6286 alpha=90.00 beta=90.00 gamma=60.00
Fractional positions:
K1 0.0000 0.0000 0.0003
Ac1 0.6666 0.6667 0.5006
Ru1 0.3333 0.3333 0.4998
O1 0.0662 0.3404 0.3087
O2 0.3395 0.0666 0.6910
O3 0.5938 0.3396 0.6910
O4 0.0666 0.5938 0.6910
O5 0.3404 0.5934 0.3087
O6 0.5934 0.0662 0.3087

SG: P312, No. 149
Energy in eV per atom: -6.41
Formation energy (no corrections) in eV per atom: -1.4957